The following is a DFT calculation (SCAN) of a crystal of CsNa2Sb2 relaxed with PBEsol.

a b c (Å): 9.6798 9.6798 3.2892
angles (deg): 90.00 90.00 90.00
Closest atoms and distances in Å follow each position.
Positions (direct):
Cs 0.0000 0.0000 0.0000  2 Cs 3.29
Cs 0.5000 0.5000 0.0000  2 Cs 3.29
Na 0.1264 0.3736 0.0000  6 Sb 3.29-3.30, 3 Na 3.29-3.46
Na 0.3736 0.8736 0.0000  6 Sb 3.29-3.30, 3 Na 3.29-3.46
Na 0.6264 0.1264 0.0000  6 Sb 3.29-3.30, 3 Na 3.29-3.46
Na 0.8736 0.6264 0.0000  6 Sb 3.29-3.30, 3 Na 3.29-3.46
Sb 0.1649 0.6649 0.5000  6 Na 3.29-3.30, 2 Sb 3.29
Sb 0.3351 0.1649 0.5000  6 Na 3.29-3.30, 2 Sb 3.29
Sb 0.6649 0.8351 0.5000  6 Na 3.29-3.30, 2 Sb 3.29
Sb 0.8351 0.3351 0.5000  6 Na 3.29-3.30, 2 Sb 3.29

Computed properties:
offset from the most stable computed form = 0.043 eV per atom
energy relative to the elements, uncorrected = -0.41 eV per atom
crystal system = tetragonal
DOS at the Fermi energy = 5.83 states/eV per cell
size of the total moment = 0.00 μB per atom

=====

The following is a DFT calculation (SCAN) of a crystal of Y2TlPb relaxed with PBEsol.

a b c (Å): 6.2664 6.2664 6.2664
angles (deg): 138.46 138.46 60.20
Closest atoms and distances in Å follow each position.
Positions (direct):
Y 0.0000 0.0000 0.0000  4 Pb 3.14, 4 Tl 3.51, 4 Y 3.51
Y 0.7500 0.2500 0.5000  4 Tl 3.14, 4 Pb 3.51, 4 Y 3.51
Tl 0.2500 0.7500 0.5000  8 Y 3.14-3.51, 4 Pb 3.51
Pb 0.5000 0.5000 0.0000  8 Y 3.14-3.51, 4 Tl 3.51

Computed properties:
crystal system = tetragonal
DFT formation energy = -0.64 eV per atom
DOS at the Fermi energy = 3.42 states/eV per cell
size of the total moment = 0.00 μB per atom

=====

The following is a DFT calculation (SCAN) of a crystal of YZn2Rh relaxed with PBEsol.

a b c (Å): 4.5633 4.5633 4.5633
angles (deg): 119.88 119.88 90.21
Closest atoms and distances in Å follow each position.
Positions (direct):
Y 0.0000 0.0000 0.0000  4 Rh 2.80, 4 Zn 2.80
Zn 0.5000 0.5000 0.0000  4 Rh 2.80, 4 Zn 2.80
Zn 0.7500 0.2500 0.5000  4 Zn 2.80, 4 Y 2.80
Rh 0.2500 0.7500 0.5000  4 Zn 2.80, 4 Y 2.80

Computed properties:
crystal system = tetragonal
DFT formation energy = -0.42 eV per atom
DOS at the Fermi energy = 2.29 states/eV per cell
size of the total moment = 0.00 μB per atom

=====

The following is a DFT calculation (SCAN) of a crystal of YRe2GeRh relaxed with PBEsol.

a b c (Å): 4.5738 4.5738 4.5211
angles (deg): 90.00 90.00 90.00
Closest atoms and distances in Å follow each position.
Positions (direct):
Y 0.0000 0.0000 0.0000  8 Re 3.22, 4 Rh 3.23
Re 0.0000 0.5000 0.5000  2 Ge 2.29
Re 0.5000 0.0000 0.5000  2 Ge 2.29
Ge 0.5000 0.5000 0.5000  2 Rh 2.26, 4 Re 2.29
Rh 0.5000 0.5000 0.0000  2 Ge 2.26

Computed properties:
crystal system = tetragonal
DFT formation energy = 0.60 eV per atom
DOS at the Fermi energy = 4.27 states/eV per cell
size of the total moment = 0.18 μB per atom

=====

DFT total energy (computed, eV for the cell shown): -245.60 -206.40 -90.32 -219.90